# MnAlPb2

MnAlPb2 after structural relaxation (PBE-GGA, the Alexandria database).

- uncorrected energy (eV per atom) = -4.887
- energy of formation from the pure elements (eV per atom) = 0.1955

Geometry as POSCAR:
```
MnAlPb2
1.0
-0.5921 0.8305 -3.1049
-1.2985 -2.9500 -0.5410
-7.7513 2.9941 2.2790
Al Pb Mn
1 2 1
Direct
0.0000 0.0000 0.5600
0.0000 0.0000 0.9382
0.5000 0.5000 0.2968
0.5000 0.5000 0.7050
```

=====

# Mn2AlPb

Mn2AlPb after structural relaxation (PBE-GGA, the Alexandria database).

- uncorrected energy (eV per atom) = -6.047
- energy of formation from the pure elements (eV per atom) = 0.4004
- E above lowest polymorph (meV per atom) = 166

Geometry as POSCAR:
```
Mn2AlPb
1.0
-3.1063 -0.0667 0.0257
0.1143 -4.1143 3.1389
0.0493 -0.1157 5.6638
Mn Pb Al
2 1 1
Direct
0.5000 0.5000 0.0000
0.0000 0.0000 0.0000
0.5000 0.5000 0.5000
0.0000 0.0000 0.5000
```

=====

# MnAl3Pb

MnAl3Pb after structural relaxation (PBE-GGA, the Alexandria database).

- uncorrected energy (eV per atom) = -4.595
- energy of formation from the pure elements (eV per atom) = 0.2264
- E above lowest polymorph (meV per atom) = 0

Geometry as POSCAR:
```
MnAl3Pb
1.0
4.6656 0.0000 0.0000
0.0000 4.6656 0.0000
0.0000 0.0000 4.6656
Al Pb Mn
3 1 1
Direct
0.0000 0.5000 0.0000
0.0000 0.0000 0.5000
0.5000 0.0000 0.0000
0.5000 0.5000 0.5000
0.0000 0.0000 0.0000
```